Record 1
Computed, not measured: a geometry-optimized CaEr2Hg9 structure at the PBE level of DFT. Values from VASP.

Calculated values
**N(E_F)**: 6.7 states/eV per cell
**Total magnetic moment**: 0.0 μB per formula unit
**Symmetry**: P4/mmm
**Energy**: -1.47 eV per atom
**DFT formation energy**: -3.8 eV per formula unit

The structure in Quantum ESPRESSO input format:
```
&SYSTEM
  ibrav = 0, nat = 12, ntyp = 3
/
ATOMIC_SPECIES
Ca 40.08 Ca.upf
Er 167.26 Er.upf
Hg 200.59 Hg.upf
CELL_PARAMETERS angstrom
4.658 0.000 0.000
0.000 4.658 0.000
0.000 0.000 13.582
ATOMIC_POSITIONS angstrom
Ca 0.000 0.000 0.000
Er 0.000 0.000 4.557
Er 0.000 0.000 9.025
Hg 0.000 2.329 2.344
Hg 0.000 2.329 6.791
Hg 0.000 2.329 11.238
Hg 2.329 0.000 2.344
Hg 2.329 0.000 6.791
Hg 2.329 0.000 11.238
Hg 2.329 2.329 0.000
Hg 2.329 2.329 4.591
Hg 2.329 2.329 8.991
```


Record 2
Computed, not measured: a geometry-optimized CaEr4Hg5 structure at the PBE level of DFT. Values from VASP.

Calculated values
**N(E_F)**: 6.3 states/eV per cell
**Total magnetic moment**: 0.0 μB per formula unit
**Symmetry**: P4/mmm
**Energy**: -2.68 eV per atom
**DFT formation energy**: -5.0 eV per formula unit

The structure in Quantum ESPRESSO input format:
```
&SYSTEM
  ibrav = 0, nat = 10, ntyp = 3
/
ATOMIC_SPECIES
Ca 40.08 Ca.upf
Er 167.26 Er.upf
Hg 200.59 Hg.upf
CELL_PARAMETERS angstrom
3.696 0.000 0.000
0.000 3.696 0.000
0.000 0.000 18.665
ATOMIC_POSITIONS angstrom
Ca 0.000 0.000 0.000
Er 0.000 0.000 3.800
Er 0.000 0.000 7.486
Er 0.000 0.000 11.179
Er 0.000 0.000 14.865
Hg 1.848 1.848 2.029
Hg 1.848 1.848 5.649
Hg 1.848 1.848 9.333
Hg 1.848 1.848 13.016
Hg 1.848 1.848 16.636
```